# 1
Compound: CaLa2Br
Source: Alexandria via LeMat-Bulk
Functional: PBE-GGA
Structure: optimized geometry

Summary:
Its symmetry is Pm (6).

Unit cell a=3.9897 b=4.5991 c=7.5850 alpha=90.00 beta=105.06 gamma=90.00
Closest atoms and distances in Å follow each position.
Fractional positions:
1 Ca 0.0000 0.0000 0.0000  4 Br 3.13
2 La 0.2662 0.0000 0.5258  4 La 3.34-3.37, 2 Br 3.57
3 La 0.6659 0.5000 0.3340  1 Br 3.19, 4 La 3.34-3.37
4 Br 0.4497 0.5000 0.8988  4 Ca 3.13, 1 La 3.19


# 2
Compound: CeNd2Hg
Source: Alexandria via LeMat-Bulk
Functional: PBE-GGA
Structure: optimized geometry

Summary:
The calculation puts the energy of formation at -0.19 eV/atom. For the energy above the most stable polymorph in this dataset, the calculation gives 0 meV per atom. Its symmetry is P4/mmm (123).

Unit cell a=3.6909 b=3.6909 c=8.7701 alpha=90.00 beta=90.00 gamma=90.00
Closest atoms and distances in Å follow each position.
Fractional positions:
1 Ce 0.0000 0.0000 0.0000  8 Nd 3.51, 4 Ce 3.69
2 Nd 0.5000 0.5000 0.2674  4 Hg 3.31, 4 Ce 3.51, 4 Nd 3.69
3 Nd 0.5000 0.5000 0.7326  4 Hg 3.31, 4 Ce 3.51, 4 Nd 3.69
4 Hg 0.0000 0.0000 0.5000  8 Nd 3.31, 4 Hg 3.69


no.,M_tot (Bohr magnetons per cell),V (Å³/cell),energy (eV/atom)
1,0.00,134.39,-3.812
2,0.31,119.47,-4.134